Entry 1:
Material: ThMnAl2
Method: DFT, PBE
State: optimized geometry

Output
Space-group type: R-3m (166)
DFT formation energy in eV per atom: -0.196

Lattice parameters (Å, degrees): 4.277 4.277 15.869 90.00 90.00 120.00
Fractional positions:
Th1 0.000 0.000 0.000
Th2 0.333 0.667 0.667
Th3 0.667 0.333 0.333
Mn1 0.000 0.000 0.500
Mn2 0.333 0.667 0.167
Mn3 0.667 0.333 0.833
Al1 0.000 0.000 0.208
Al2 0.000 0.000 0.792
Al3 0.333 0.667 0.458
Al4 0.333 0.667 0.875
Al5 0.667 0.333 0.125
Al6 0.667 0.333 0.542

Entry 2:
Material: Nd6Hg2Pt
Method: DFT, PBE
State: optimized geometry

Output
Space-group type: P2_1/c (14)
DFT formation energy in eV per atom: -0.387

Lattice parameters (Å, degrees): 6.407 8.224 12.306 90.00 119.64 90.00
Fractional positions:
Nd1 0.091 0.199 0.451
Nd2 0.091 0.301 0.951
Nd3 0.305 0.661 0.449
Nd4 0.305 0.839 0.949
Nd5 0.373 0.033 0.244
Nd6 0.373 0.467 0.744
Nd7 0.627 0.533 0.256
Nd8 0.627 0.967 0.756
Nd9 0.695 0.161 0.051
Nd10 0.695 0.339 0.551
Nd11 0.909 0.699 0.049
Nd12 0.909 0.801 0.549
Hg1 0.146 0.113 0.736
Hg2 0.146 0.387 0.236
Hg3 0.854 0.613 0.764
Hg4 0.854 0.887 0.264
Pt1 0.500 0.000 0.500
Pt2 0.500 0.500 0.000

Entry 3:
Material: Er2Ga3CoNi4
Method: DFT, PBE
State: optimized geometry

Output
Space-group type: P-4m2 (115)
DFT formation energy in eV per atom: -0.470

Lattice parameters (Å, degrees): 3.843 3.843 10.572 90.00 90.00 90.00
Fractional positions:
Er1 0.000 0.500 0.237
Er2 0.500 0.000 0.763
Ga1 0.000 0.000 0.000
Ga2 0.000 0.500 0.635
Ga3 0.500 0.000 0.365
Co1 0.500 0.500 0.000
Ni1 0.000 0.000 0.500
Ni2 0.000 0.500 0.861
Ni3 0.500 0.000 0.139
Ni4 0.500 0.500 0.500

Entry 4:
Material: NdTl2Hg9
Method: DFT, PBE
State: optimized geometry

Output
Space-group type: P4/mmm (123)
DFT formation energy in eV per atom: -0.125

Lattice parameters (Å, degrees): 4.714 4.714 14.795 90.00 90.00 90.00
Fractional positions:
Nd1 0.000 0.000 0.000
Tl1 0.000 0.000 0.331
Tl2 0.000 0.000 0.669
Hg1 0.000 0.500 0.158
Hg2 0.000 0.500 0.500
Hg3 0.000 0.500 0.842
Hg4 0.500 0.000 0.158
Hg5 0.500 0.000 0.500
Hg6 0.500 0.000 0.842
Hg7 0.500 0.500 0.000
Hg8 0.500 0.500 0.322
Hg9 0.500 0.500 0.678

Entry 5:
Material: Hg2BiTe
Method: DFT, PBE
State: optimized geometry

Output
Space-group type: R-3m (166)
E_form (uncorrected) in meV per atom: 111
Energy above the most stable polymorph in this dataset in eV/atom: 0.041

Lattice parameters (Å, degrees): 3.466 3.466 34.879 90.00 90.00 120.00
Fractional positions:
Hg1 0.000 0.000 0.087
Hg2 0.000 0.000 0.913
Hg3 0.333 0.667 0.579
Hg4 0.333 0.667 0.754
Hg5 0.667 0.333 0.246
Hg6 0.667 0.333 0.421
Bi1 0.000 0.000 0.000
Bi2 0.333 0.667 0.667
Bi3 0.667 0.333 0.333
Te1 0.000 0.000 0.500
Te2 0.333 0.667 0.167
Te3 0.667 0.333 0.833

Entry 6:
Material: AcPmPb
Method: DFT, PBE
State: optimized geometry

Output
Space-group type: Cmmm (65)
DFT formation energy in eV per atom: 0.623
Energy above the most stable polymorph in this dataset in eV/atom: 1.057

Lattice parameters (Å, degrees): 9.185 9.799 6.388 90.00 90.00 90.00
Fractional positions:
Ac1 0.000 0.000 0.000
Ac2 0.000 0.500 0.500
Ac3 0.500 0.000 0.500
Ac4 0.500 0.500 0.000
Pm1 0.000 0.159 0.500
Pm2 0.000 0.841 0.500
Pm3 0.500 0.341 0.500
Pm4 0.500 0.659 0.500
Pb1 0.158 0.500 0.000
Pb2 0.342 0.000 0.000
Pb3 0.658 0.000 0.000
Pb4 0.842 0.500 0.000

Entry 7:
Material: CsNa2GaAg
Method: DFT, PBE
State: optimized geometry

Output
Space-group type: P4/mmm (123)
DFT formation energy in eV per atom: 0.034
Energy above the most stable polymorph in this dataset in eV/atom: 0.000

Lattice parameters (Å, degrees): 5.951 5.951 5.020 90.00 90.00 90.00
Fractional positions:
Cs1 0.000 0.000 0.000
Na1 0.000 0.500 0.500
Na2 0.500 0.000 0.500
Ga1 0.500 0.500 0.000
Ag1 0.500 0.500 0.500

Entry 8:
Material: Tb6Al2Cu
Method: DFT, PBE
State: optimized geometry

Output
Space-group type: Immm (71)
DFT formation energy in eV per atom: 0.006

Lattice parameters (Å, degrees): 8.612 8.612 8.612 146.48 131.06 60.63
Fractional positions:
Tb1 0.081 0.338 0.744
Tb2 0.239 0.000 0.239
Tb3 0.406 0.662 0.744
Tb4 0.594 0.338 0.256
Tb5 0.761 0.000 0.761
Tb6 0.919 0.662 0.256
Al1 0.334 0.834 0.500
Al2 0.666 0.166 0.500
Cu1 0.000 0.500 0.500